(1)
Density functional theory data (PBE-GGA) for a relaxed structure of Sc2CuPt.

E (eV/atom): -6.285
Magnetization (μB per formula unit): 0.0

CIF file:
```
data_Sc2CuPt
_space_group_name_H-M_alt 'P m m 2'
_space_group_IT_number 25
_cell_length_a 3.667
_cell_length_b 3.687
_cell_length_c 5.630
_cell_angle_alpha 90.00
_cell_angle_beta 90.00
_cell_angle_gamma 90.00
loop_
_space_group_symop_operation_xyz
'x,y,z'
'-x,-y,z'
'-x,y,z'
'x,-y,z'
loop_
_atom_site_label
_atom_site_type_symbol
_atom_site_fract_x
_atom_site_fract_y
_atom_site_fract_z
Sc1 Sc 0.000 0.000 0.000
Sc2 Sc 0.500 0.500 0.367
Cu1 Cu 0.000 0.000 0.520
Pt1 Pt 0.500 0.500 0.867
```

=====

(2)
Density functional theory data (PBE-GGA) for a relaxed structure of ScCu2Pt.

E (eV/atom): -5.743
Magnetization (μB per formula unit): 0.0

CIF file:
```
data_ScCu2Pt
_space_group_name_H-M_alt 'I 4/m m m'
_space_group_IT_number 139
_space_group_name_Hall '-I 4 2'
_cell_length_a 3.849
_cell_length_b 3.849
_cell_length_c 8.011
_cell_angle_alpha 90.00
_cell_angle_beta 90.00
_cell_angle_gamma 90.00
loop_
_atom_site_label
_atom_site_type_symbol
_atom_site_fract_x
_atom_site_fract_y
_atom_site_fract_z
Sc1 Sc 0.000 0.000 0.000
Cu1 Cu 0.000 0.500 0.250
Pt1 Pt 0.000 0.000 0.500
```

=====

(3)
Density functional theory data (PBE-GGA) for a relaxed structure of Sc2CuPt.

E (eV/atom): -6.324
Magnetization (μB per formula unit): 0.0

CIF file:
```
data_Sc2CuPt
_space_group_name_H-M_alt 'I m m 2'
_space_group_IT_number 44
_cell_length_a 3.624
_cell_length_b 4.259
_cell_length_c 9.123
_cell_angle_alpha 90.00
_cell_angle_beta 90.00
_cell_angle_gamma 90.00
loop_
_space_group_symop_operation_xyz
'x,y,z'
'-x,-y,z'
'-x,y,z'
'x,-y,z'
'x+1/2,y+1/2,z+1/2'
'-x+1/2,-y+1/2,z+1/2'
'-x+1/2,y+1/2,z+1/2'
'x+1/2,-y+1/2,z+1/2'
loop_
_atom_site_label
_atom_site_type_symbol
_atom_site_fract_x
_atom_site_fract_y
_atom_site_fract_z
Sc1 Sc 0.000 0.000 0.000
Sc2 Sc 0.000 0.500 0.234
Cu1 Cu 0.000 0.000 0.479
Pt1 Pt 0.000 0.500 0.742
```

=====

(4)
Density functional theory data (PBE-GGA) for a relaxed structure of ScCuPt6.

E (eV/atom): -6.415
Magnetization (μB per formula unit): 0.0

CIF file:
```
data_ScCuPt6
_space_group_name_H-M_alt 'P 4/m m m'
_space_group_IT_number 123
_space_group_name_Hall '-P 4 2'
_cell_length_a 3.963
_cell_length_b 3.963
_cell_length_c 7.901
_cell_angle_alpha 90.00
_cell_angle_beta 90.00
_cell_angle_gamma 90.00
loop_
_atom_site_label
_atom_site_type_symbol
_atom_site_fract_x
_atom_site_fract_y
_atom_site_fract_z
Sc1 Sc 0.000 0.000 0.000
Cu1 Cu 0.000 0.000 0.500
Pt1 Pt 0.000 0.500 0.256
Pt2 Pt 0.500 0.500 0.000
Pt3 Pt 0.500 0.500 0.500
```

=====

(5)
Density functional theory data (PBE-GGA) for a relaxed structure of ScCu2Pt.

E (eV/atom): -5.502
Magnetization (μB per formula unit): 0.0

CIF file:
```
data_ScCu2Pt
_space_group_name_H-M_alt 'P 1 2/m 1'
_space_group_IT_number 10
_cell_length_a 2.881
_cell_length_b 4.507
_cell_length_c 4.854
_cell_angle_alpha 90.00
_cell_angle_beta 97.90
_cell_angle_gamma 90.00
loop_
_space_group_symop_operation_xyz
'x,y,z'
'-x,-y,-z'
'-x,y,-z'
'x,-y,z'
loop_
_atom_site_label
_atom_site_type_symbol
_atom_site_fract_x
_atom_site_fract_y
_atom_site_fract_z
Sc1 Sc 0.000 0.000 0.000
Cu1 Cu 0.358 0.500 0.743
Pt1 Pt 0.500 0.000 0.500
```

=====

(6)
Density functional theory data (PBE-GGA) for a relaxed structure of Sc2CuPt6.

E (eV/atom): -6.568
Magnetization (μB per formula unit): 0.0

CIF file:
```
data_Sc2CuPt6
_space_group_name_H-M_alt 'P -6 2 m'
_space_group_IT_number 189
_space_group_name_Hall 'P -6 -2'
_cell_length_a 7.5763
_cell_length_b 7.5763
_cell_length_c 2.9010
_cell_angle_alpha 90.00
_cell_angle_beta 90.00
_cell_angle_gamma 120.00
loop_
_atom_site_label
_atom_site_type_symbol
_atom_site_fract_x
_atom_site_fract_y
_atom_site_fract_z
Sc1 Sc 0.3333 0.6667 0.0000
Cu1 Cu 0.0000 0.0000 0.5000
Pt1 Pt 0.0000 0.2907 0.0000
Pt2 Pt 0.0000 0.6296 0.5000
```

=====

(7)
Density functional theory data (PBE-GGA) for a relaxed structure of Sc2Cu2Pt.

Excess energy over the best structure of this formula in the dataset (meV per atom): 41.6
Magnetization (μB per formula unit): 0.0

CIF file:
```
data_Sc2Cu2Pt
_space_group_name_H-M_alt 'P 4/m b m'
_space_group_IT_number 127
_space_group_name_Hall '-P 4 2ab'
_cell_length_a 6.852
_cell_length_b 6.852
_cell_length_c 3.557
_cell_angle_alpha 90.00
_cell_angle_beta 90.00
_cell_angle_gamma 90.00
loop_
_atom_site_label
_atom_site_type_symbol
_atom_site_fract_x
_atom_site_fract_y
_atom_site_fract_z
Sc1 Sc 0.181 0.319 0.000
Cu1 Cu 0.123 0.623 0.500
Pt1 Pt 0.000 0.000 0.500
```

=====

(8)
Density functional theory data (PBE-GGA) for a relaxed structure of Sc4Cu3Pt.

E (eV/atom): -6.001
Magnetization (μB per formula unit): 0.0

CIF file:
```
data_Sc4Cu3Pt
_space_group_name_H-M_alt 'P 4/m m m'
_space_group_IT_number 123
_space_group_name_Hall '-P 4 2'
_cell_length_a 4.619
_cell_length_b 4.619
_cell_length_c 6.555
_cell_angle_alpha 90.00
_cell_angle_beta 90.00
_cell_angle_gamma 90.00
loop_
_atom_site_label
_atom_site_type_symbol
_atom_site_fract_x
_atom_site_fract_y
_atom_site_fract_z
Sc1 Sc 0.000 0.500 0.249
Cu1 Cu 0.000 0.000 0.000
Cu2 Cu 0.000 0.000 0.500
Cu3 Cu 0.500 0.500 0.000
Pt1 Pt 0.500 0.500 0.500
```

=====

(9)
Density functional theory data (PBE-GGA) for a relaxed structure of ScCuPt3.

Excess energy over the best structure of this formula in the dataset (meV per atom): 1509.4
Magnetization (μB per formula unit): 0.0

CIF file:
```
data_ScCuPt3
_space_group_name_H-M_alt 'P m -3 m'
_space_group_IT_number 221
_space_group_name_Hall '-P 4 2 3'
_cell_length_a 4.785
_cell_length_b 4.785
_cell_length_c 4.785
_cell_angle_alpha 90.00
_cell_angle_beta 90.00
_cell_angle_gamma 90.00
loop_
_atom_site_label
_atom_site_type_symbol
_atom_site_fract_x
_atom_site_fract_y
_atom_site_fract_z
Sc1 Sc 0.000 0.000 0.000
Cu1 Cu 0.500 0.500 0.500
Pt1 Pt 0.000 0.000 0.500
```

=====

(10)
Density functional theory data (PBE-GGA) for a relaxed structure of Sc4Cu3Pt2.

E (eV/atom): -6.181
Magnetization (μB per formula unit): 0.0

CIF file:
```
data_Sc4Cu3Pt2
_space_group_name_H-M_alt 'P -3 m 1'
_space_group_IT_number 164
_space_group_name_Hall '-P 3 2"'
_cell_length_a 4.4905
_cell_length_b 4.4905
_cell_length_c 8.9972
_cell_angle_alpha 90.00
_cell_angle_beta 90.00
_cell_angle_gamma 120.00
loop_
_atom_site_label
_atom_site_type_symbol
_atom_site_fract_x
_atom_site_fract_y
_atom_site_fract_z
Sc1 Sc 0.0000 0.0000 0.1662
Sc2 Sc 0.3333 0.6667 0.3878
Cu1 Cu 0.0000 0.0000 0.5000
Cu2 Cu 0.3333 0.6667 0.9988
Pt1 Pt 0.3333 0.6667 0.6942
```